{
  "formula": "La2ZnCl",
  "functional": "meta-GGA SCAN",
  "state": "PBEsol geometry",
  "m_tot_mub_per_fu": 0.02,
  "de_polymorph_kj_per_mol_fu": 21.8,
  "sg": "R-3m",
  "rho_kg_m3": 5885,
  "formation_energy_uncorrected_mev_per_atom": -1050.6,
  "dft_energy_ev_per_atom": -27.98,
  "cell": [[2.119, 1.224, 6.866], [-2.119, 1.224, 6.866], [0.000, -2.447, 6.866]],
  "species": ["La", "La", "Zn", "Cl"],
  "fractional_positions": [[0.245, 0.245, 0.245], [0.755, 0.755, 0.755], [0.000, 0.000, 0.000], [0.500, 0.500, 0.500]]
}


{
  "formula": "Al4Ni15Ge",
  "functional": "meta-GGA SCAN",
  "state": "PBEsol geometry",
  "m_tot_mub_per_fu": 4.25,
  "sg": "P4/mmm",
  "rho_kg_m3": 8101,
  "dft_energy_ev_per_atom": -15.08,
  "cell": [[3.517, 0.000, 0.000], [0.000, 3.517, 0.000], [0.000, 0.000, 17.581]],
  "species": ["Al", "Al", "Al", "Al", "Ni", "Ni", "Ni", "Ni", "Ni", "Ni", "Ni", "Ni", "Ni", "Ni", "Ni", "Ni", "Ni", "Ni", "Ni", "Ge"],
  "fractional_positions": [[0.000, 0.000, 0.100], [0.000, 0.000, 0.299], [0.000, 0.000, 0.701], [0.000, 0.000, 0.900], [0.000, 0.500, 0.000], [0.000, 0.500, 0.200], [0.000, 0.500, 0.400], [0.000, 0.500, 0.600], [0.000, 0.500, 0.800], [0.500, 0.000, 0.000], [0.500, 0.000, 0.200], [0.500, 0.000, 0.400], [0.500, 0.000, 0.600], [0.500, 0.000, 0.800], [0.500, 0.500, 0.100], [0.500, 0.500, 0.300], [0.500, 0.500, 0.500], [0.500, 0.500, 0.700], [0.500, 0.500, 0.900], [0.000, 0.000, 0.500]]
}


{
  "formula": "HgIrSe2",
  "functional": "meta-GGA SCAN",
  "state": "PBEsol geometry",
  "m_tot_mub_per_fu": 0.00,
  "sg": "Pm",
  "rho_kg_m3": 9209,
  "formation_energy_uncorrected_mev_per_atom": 100.6,
  "dft_energy_ev_per_atom": -44.75,
  "cell": [[4.366, 0.000, 0.000], [0.000, 4.356, 0.000], [-0.007, 0.000, 5.221]],
  "species": ["Hg", "Ir", "Se", "Se"],
  "fractional_positions": [[0.000, 0.000, 0.000], [0.498, 0.500, 0.500], [0.499, 0.000, 0.686], [0.998, 0.500, 0.316]]
}


{
  "formula": "Nb6RuRh",
  "functional": "meta-GGA SCAN",
  "state": "PBEsol geometry",
  "m_tot_mub_per_fu": 0.00,
  "sg": "Pm-3",
  "rho_kg_m3": 9416,
  "dft_energy_ev_per_atom": -33.73,
  "cell": [[5.121, 0.000, 0.000], [0.000, 5.121, 0.000], [0.000, 0.000, 5.121]],
  "species": ["Nb", "Nb", "Nb", "Nb", "Nb", "Nb", "Ru", "Rh"],
  "fractional_positions": [[0.000, 0.251, 0.500], [0.000, 0.749, 0.500], [0.251, 0.500, 0.000], [0.500, 0.000, 0.251], [0.500, 0.000, 0.749], [0.749, 0.500, 0.000], [0.500, 0.500, 0.500], [0.000, 0.000, 0.000]]
}


{
  "formula": "CdHg2Br",
  "functional": "meta-GGA SCAN",
  "state": "PBEsol geometry",
  "m_tot_mub_per_fu": 0.00,
  "de_polymorph_kj_per_mol_fu": 75.8,
  "sg": "P4/mmm",
  "rho_kg_m3": 10088,
  "formation_energy_uncorrected_mev_per_atom": -33.2,
  "dft_energy_ev_per_atom": -46.58,
  "cell": [[5.127, 0.000, 0.000], [0.000, 5.127, 0.000], [0.000, 0.000, 3.716]],
  "species": ["Cd", "Hg", "Hg", "Br"],
  "fractional_positions": [[0.000, 0.000, 0.000], [0.000, 0.500, 0.500], [0.500, 0.000, 0.500], [0.500, 0.500, 0.000]]
}


{
  "formula": "CrIn2Tc",
  "functional": "meta-GGA SCAN",
  "state": "PBEsol geometry",
  "m_tot_mub_per_fu": 2.00,
  "de_polymorph_kj_per_mol_fu": 36.8,
  "sg": "Imm2",
  "rho_kg_m3": 9346,
  "dft_energy_ev_per_atom": -29.78,
  "cell": [[-1.580, 2.288, 4.664], [1.580, -2.288, 4.664], [1.580, 2.288, -4.664]],
  "species": ["Cr", "In", "In", "Tc"],
  "fractional_positions": [[0.000, 0.000, 0.000], [0.461, 0.461, 0.000], [0.741, 0.241, 0.500], [0.196, 0.696, 0.500]]
}


{
  "formula": "Ba2AlTc",
  "functional": "meta-GGA SCAN",
  "state": "PBEsol geometry",
  "m_tot_mub_per_fu": 2.72,
  "sg": "I4/mmm",
  "rho_kg_m3": 5963,
  "dft_energy_ev_per_atom": -29.72,
  "cell": [[-2.418, 2.418, 4.758], [2.418, -2.418, 4.758], [2.418, 2.418, -4.758]],
  "species": ["Ba", "Ba", "Al", "Tc"],
  "fractional_positions": [[0.250, 0.750, 0.500], [0.750, 0.250, 0.500], [0.000, 0.000, 0.000], [0.500, 0.500, 0.000]]
}


{
  "formula": "CdNi8",
  "functional": "meta-GGA SCAN",
  "state": "PBEsol geometry",
  "m_tot_mub_per_fu": 5.28,
  "sg": "I4/mmm",
  "rho_kg_m3": 9545,
  "dft_energy_ev_per_atom": -17.65,
  "cell": [[-3.779, 3.779, 1.772], [3.779, -3.779, 1.772], [3.779, 3.779, -1.772]],
  "species": ["Cd", "Ni", "Ni", "Ni", "Ni", "Ni", "Ni", "Ni", "Ni"],
  "fractional_positions": [[0.000, 0.000, 0.000], [0.000, 0.341, 0.341], [0.000, 0.659, 0.659], [0.324, 0.324, 0.647], [0.324, 0.676, 0.000], [0.341, 0.000, 0.341], [0.659, 0.000, 0.659], [0.676, 0.324, 0.000], [0.676, 0.676, 0.353]]
}


{
  "formula": "Tl3Cd",
  "functional": "meta-GGA SCAN",
  "state": "PBEsol geometry",
  "m_tot_mub_per_fu": 0.00,
  "sg": "Fm-3m",
  "rho_kg_m3": 11341,
  "dft_energy_ev_per_atom": -61.80,
  "cell": [[0.000, 3.759, 3.759], [3.759, 0.000, 3.759], [3.759, 3.759, 0.000]],
  "species": ["Tl", "Tl", "Tl", "Cd"],
  "fractional_positions": [[0.000, 0.000, 0.000], [0.250, 0.250, 0.250], [0.750, 0.750, 0.750], [0.500, 0.500, 0.500]]
}


{
  "formula": "MgIn2Se4",
  "functional": "meta-GGA SCAN",
  "state": "PBEsol geometry",
  "m_tot_mub_per_fu": 0.00,
  "sg": "Fd-3m",
  "rho_kg_m3": 5248,
  "formation_energy_uncorrected_mev_per_atom": -838.7,
  "dft_energy_ev_per_atom": -22.56,
  "cell": [[0.000, 5.649, 5.649], [5.649, 0.000, 5.649], [5.649, 5.649, 0.000]],
  "species": ["Mg", "Mg", "In", "In", "In", "In", "Se", "Se", "Se", "Se", "Se", "Se", "Se", "Se"],
  "fractional_positions": [[0.125, 0.125, 0.125], [0.875, 0.875, 0.875], [0.000, 0.500, 0.500], [0.500, 0.000, 0.500], [0.500, 0.500, 0.000], [0.500, 0.500, 0.500], [0.257, 0.257, 0.257], [0.257, 0.257, 0.728], [0.257, 0.728, 0.257], [0.272, 0.743, 0.743], [0.728, 0.257, 0.257], [0.743, 0.272, 0.743], [0.743, 0.743, 0.272], [0.743, 0.743, 0.743]]
}


{
  "formula": "ScCd",
  "functional": "meta-GGA SCAN",
  "state": "PBEsol geometry",
  "m_tot_mub_per_fu": 0.07,
  "sg": "Cmcm",
  "rho_kg_m3": 6059,
  "dft_energy_ev_per_atom": -22.66,
  "cell": [[1.640, -5.645, 0.000], [1.640, 5.645, 0.000], [0.000, 0.000, 4.658]],
  "species": ["Sc", "Sc", "Cd", "Cd"],
  "fractional_positions": [[0.166, 0.834, 0.750], [0.834, 0.166, 0.250], [0.426, 0.574, 0.750], [0.574, 0.426, 0.250]]
}


{
  "formula": "Y2CuP",
  "functional": "meta-GGA SCAN",
  "state": "PBEsol geometry",
  "m_tot_mub_per_fu": 0.81,
  "sg": "Amm2",
  "rho_kg_m3": 5616,
  "dft_energy_ev_per_atom": -21.31,
  "cell": [[3.913, 0.000, 0.000], [0.000, 1.976, 5.207], [0.000, -1.976, 5.207]],
  "species": ["Y", "Y", "Cu", "P"],
  "fractional_positions": [[0.000, 0.000, 0.000], [0.500, 0.286, 0.286], [0.000, 0.710, 0.710], [0.500, 0.569, 0.569]]
}